5
Lattice="4.395 0.000 0.000 0.000 4.395 0.000 0.000 0.000 4.395" Properties=species:S:1:pos:R:3 comment="HfCo3Pd, optimized geometry, DFT GGA-PBEsol" ef_ev_per_atom=1.192 space_group="No. 221" m_tot_mub_per_fu=4.84 total_energy_ev_per_fu=-33.711 pbc="T T T"
Hf 0.000 0.000 0.000
Co 0.000 2.197 2.197
Co 2.197 0.000 2.197
Co 2.197 2.197 0.000
Pd 2.197 2.197 2.197



4
Lattice="2.709 0.000 0.000 0.000 2.709 0.000 0.000 0.000 8.395" Properties=species:S:1:pos:R:3 comment="Ag2PRh, optimized geometry, DFT GGA-PBEsol" ef_ev_per_atom=0.365 space_group="No. 123" m_tot_mub_per_fu=0.37 total_energy_ev_per_fu=-19.093 pbc="T T T"
Ag 0.000 0.000 2.071
Ag 0.000 0.000 6.324
P 1.354 1.354 4.198
Rh 1.354 1.354 0.000



12
Lattice="6.642 0.000 0.000 0.000 4.192 0.000 0.000 0.000 7.229" Properties=species:S:1:pos:R:3 comment="ErGaNi, optimized geometry, DFT GGA-PBEsol" ef_ev_per_atom=-0.695 space_group="No. 62" m_tot_mub_per_fu=0.00 total_energy_ev_per_fu=-16.508 pbc="T T T"
Er 0.138 1.048 1.387
Er 3.183 3.144 5.001
Er 3.460 1.048 2.227
Er 6.504 3.144 5.842
Ga 1.120 1.048 4.151
Ga 2.201 3.144 0.537
Ga 4.442 1.048 6.692
Ga 5.522 3.144 3.078
Ni 1.437 3.144 2.886
Ni 1.885 1.048 6.501
Ni 4.758 3.144 0.728
Ni 5.206 1.048 4.342



16
Lattice="7.367 0.000 0.000 0.000 7.367 0.000 0.000 0.000 7.367" Properties=species:S:1:pos:R:3 comment="RbCaFe2, optimized geometry, DFT GGA-PBEsol" ef_ev_per_atom=1.425 space_group="No. 225" m_tot_mub_per_fu=5.46 total_energy_ev_per_fu=-15.387 pbc="T T T"
Rb 0.000 0.000 0.000
Rb 0.000 3.684 3.684
Rb 3.684 0.000 3.684
Rb 3.684 3.684 0.000
Ca 0.000 0.000 3.684
Ca 0.000 3.684 0.000
Ca 3.684 0.000 0.000
Ca 3.684 3.684 3.684
Fe 1.842 1.842 1.842
Fe 1.842 1.842 5.525
Fe 1.842 5.525 1.842
Fe 1.842 5.525 5.525
Fe 5.525 1.842 1.842
Fe 5.525 1.842 5.525
Fe 5.525 5.525 1.842
Fe 5.525 5.525 5.525



10
Lattice="4.051 0.000 0.000 0.000 4.051 0.000 0.000 0.000 18.568" Properties=species:S:1:pos:R:3 comment="Rb2Sc2Cu, optimized geometry, DFT GGA-PBEsol" ef_ev_per_atom=1.115 space_group="No. 139" m_tot_mub_per_fu=0.11 total_energy_ev_per_fu=-14.022 pbc="T T T"
Rb 0.000 2.026 4.642
Rb 0.000 2.026 13.926
Rb 2.026 0.000 4.642
Rb 2.026 0.000 13.926
Sc 0.000 0.000 1.297
Sc 0.000 0.000 17.270
Sc 2.026 2.026 7.987
Sc 2.026 2.026 10.581
Cu 0.000 0.000 9.284
Cu 2.026 2.026 0.000



5
Lattice="5.409 0.000 0.000 0.000 5.409 0.000 0.000 0.000 4.593" Properties=species:S:1:pos:R:3 comment="Ca2CdSiTc, optimized geometry, DFT GGA-PBEsol" e_form_raw_kcal_per_mol_atoms=6.72 space_group="No. 123" m_tot_mub_per_fu=0.65 total_energy_ev_per_fu=-21.020 pbc="T T T"
Ca 0.000 2.704 0.000
Ca 2.704 0.000 0.000
Cd 0.000 0.000 2.296
Si 2.704 2.704 2.296
Tc 2.704 2.704 0.000



10
Lattice="5.085 0.000 0.000 0.000 5.085 0.000 0.000 0.000 11.522" Properties=species:S:1:pos:R:3 comment="BaLi4, optimized geometry, DFT GGA-PBEsol" ef_ev_per_atom=0.052 relative_energy_mev_per_atom=45 space_group="No. 139" m_tot_mub_per_fu=0.00 total_energy_ev_per_fu=-9.757 pbc="T T T"
Ba 0.000 0.000 0.000
Ba 2.543 2.543 5.761
Li 0.000 0.000 4.289
Li 0.000 0.000 7.232
Li 0.000 2.543 2.880
Li 0.000 2.543 8.641
Li 2.543 0.000 2.880
Li 2.543 0.000 8.641
Li 2.543 2.543 1.472
Li 2.543 2.543 10.050



8
Lattice="4.363 0.000 0.000 0.000 3.508 0.000 0.000 0.000 10.435" Properties=species:S:1:pos:R:3 comment="Zr2TcTe, optimized geometry, DFT GGA-PBEsol" e_form_raw_kcal_per_mol_atoms=-9.67 space_group="No. 38" m_tot_mub_per_fu=0.00 total_energy_ev_per_fu=-34.649 pbc="T T T"
Zr 0.000 0.000 0.000
Zr 0.000 1.754 5.218
Zr 2.181 0.000 3.147
Zr 2.181 1.754 8.365
Tc 0.000 0.000 7.864
Tc 0.000 1.754 2.646
Te 2.181 0.000 6.051
Te 2.181 1.754 0.834



8
Lattice="4.511 0.000 0.000 0.000 4.511 0.000 0.000 0.000 7.274" Properties=species:S:1:pos:R:3 comment="InCu2Te, optimized geometry, DFT GGA-PBEsol" relative_energy_mev_per_atom=214 e_form_raw_kcal_per_mol_atoms=6.53 space_group="No. 139" m_tot_mub_per_fu=0.00 total_energy_ev_per_fu=-14.044 pbc="T T T"
In 0.000 0.000 0.000
In 2.255 2.255 3.637
Cu 0.000 2.255 1.819
Cu 0.000 2.255 5.456
Cu 2.255 0.000 1.819
Cu 2.255 0.000 5.456
Te 0.000 0.000 3.637
Te 2.255 2.255 0.000



16
Lattice="5.732 0.000 0.000 0.000 5.732 0.000 0.000 0.000 16.286" Properties=species:S:1:pos:R:3 comment="InTe2As, optimized geometry, DFT GGA-PBEsol" relative_energy_mev_per_atom=151 e_form_raw_kcal_per_mol_atoms=3.53 space_group="No. 122" m_tot_mub_per_fu=0.00 total_energy_ev_per_fu=-14.529 pbc="T T T"
In 0.000 0.000 0.000
In 0.000 2.866 4.071
In 2.866 0.000 12.214
In 2.866 2.866 8.143
Te 1.265 1.433 10.179
Te 1.433 4.131 14.250
Te 1.433 4.467 6.107
Te 1.601 1.433 2.036
Te 4.131 4.299 2.036
Te 4.299 1.265 6.107
Te 4.299 1.601 14.250
Te 4.467 4.299 10.179
As 0.000 0.000 8.143
As 0.000 2.866 12.214
As 2.866 0.000 4.071
As 2.866 2.866 0.000



4
Lattice="3.524 0.000 0.000 0.000 3.524 0.000 0.000 0.000 5.575" Properties=species:S:1:pos:R:3 comment="AlIn2Fe, optimized geometry, DFT GGA-PBEsol" ef_ev_per_atom=0.266 space_group="No. 123" m_tot_mub_per_fu=1.19 total_energy_ev_per_fu=-17.957 pbc="T T T"
Al 0.000 0.000 0.000
In 1.762 1.762 1.451
In 1.762 1.762 4.124
Fe 0.000 0.000 2.787



6
Lattice="5.225 0.000 0.000 0.000 5.225 0.000 0.000 0.000 5.225" Properties=species:S:1:pos:R:3 comment="Au2S, optimized geometry, DFT GGA-PBEsol" e_form_raw_kcal_per_mol_atoms=0.29 space_group="No. 224" m_tot_mub_per_fu=0.00 total_energy_ev_per_fu=-12.195 pbc="T T T"
Au 0.000 0.000 0.000
Au 0.000 2.612 2.612
Au 2.612 0.000 2.612
Au 2.612 2.612 0.000
S 1.306 1.306 1.306
S 3.919 3.919 3.919



12
Lattice="2.958 0.000 0.000 -1.479 2.562 0.000 0.000 0.000 25.419" Properties=species:S:1:pos:R:3 comment="Cu2IrPb, optimized geometry, DFT GGA-PBEsol" ef_ev_per_atom=0.540 space_group="No. 166" m_tot_mub_per_fu=0.00 total_energy_ev_per_fu=-20.330 pbc="T T T"
Cu 0.000 0.000 6.163
Cu 0.000 0.000 19.256
Cu 0.000 1.708 10.783
Cu 0.000 1.708 23.109
Cu 1.479 0.854 2.310
Cu 1.479 0.854 14.636
Ir 0.000 0.000 12.709
Ir 0.000 1.708 4.236
Ir 1.479 0.854 21.182
Pb 0.000 0.000 0.000
Pb 0.000 1.708 16.946
Pb 1.479 0.854 8.473



8
Lattice="4.173 0.000 0.000 0.000 4.050 0.000 0.000 0.000 9.559" Properties=species:S:1:pos:R:3 comment="CaCu2Pb, optimized geometry, DFT GGA-PBEsol" ef_ev_per_atom=-0.062 space_group="No. 38" m_tot_mub_per_fu=0.00 total_energy_ev_per_fu=-15.049 pbc="T T T"
Ca 0.000 0.000 0.000
Ca 0.000 2.025 4.779
Cu 0.000 0.000 6.788
Cu 0.000 2.025 2.009
Cu 2.086 0.000 5.606
Cu 2.086 2.025 0.827
Pb 2.086 0.000 2.792
Pb 2.086 2.025 7.572



10
Lattice="7.486 0.000 0.000 0.000 7.486 0.000 0.000 0.000 4.180" Properties=species:S:1:pos:R:3 comment="Ca2Zn2Cd, optimized geometry, DFT GGA-PBEsol" ef_ev_per_atom=-0.245 space_group="No. 127" m_tot_mub_per_fu=0.00 total_energy_ev_per_fu=-9.850 pbc="T T T"
Ca 1.340 2.403 0.000
Ca 2.403 6.146 0.000
Ca 5.083 1.340 0.000
Ca 6.146 5.083 0.000
Zn 0.890 4.633 2.090
Zn 2.853 0.890 2.090
Zn 4.633 6.595 2.090
Zn 6.595 2.853 2.090
Cd 0.000 0.000 2.090
Cd 3.743 3.743 2.090



4
Lattice="3.817 0.000 0.000 0.000 3.817 0.000 0.000 0.000 7.569" Properties=species:S:1:pos:R:3 comment="SrTl2Cd, optimized geometry, DFT GGA-PBEsol" ef_ev_per_atom=-0.223 space_group="No. 123" m_tot_mub_per_fu=0.00 total_energy_ev_per_fu=-9.191 pbc="T T T"
Sr 0.000 0.000 0.000
Tl 1.909 1.909 2.161
Tl 1.909 1.909 5.407
Cd 0.000 0.000 3.784



5
Lattice="4.965 0.000 0.000 0.000 4.965 0.000 0.000 0.000 5.045" Properties=species:S:1:pos:R:3 comment="TaInAs2Se, optimized geometry, DFT GGA-PBEsol" e_form_raw_kcal_per_mol_atoms=32.96 space_group="No. 123" m_tot_mub_per_fu=1.70 total_energy_ev_per_fu=-22.450 pbc="T T T"
Ta 0.000 0.000 0.000
In 2.482 2.482 2.522
As 0.000 2.482 2.522
As 2.482 0.000 2.522
Se 2.482 2.482 0.000



28
Lattice="17.125 0.000 0.000 0.000 4.281 0.000 0.000 0.000 14.815" Properties=species:S:1:pos:R:3 comment="LaMgI5, optimized geometry, DFT GGA-PBEsol" relative_energy_mev_per_atom=2 e_form_raw_kcal_per_mol_atoms=-30.14 space_group="No. 62" m_tot_mub_per_fu=0.00 total_energy_ev_per_fu=-25.048 pbc="T T T"
La 2.804 1.070 3.531
La 5.758 3.211 10.939
La 11.367 1.070 3.876
La 14.321 3.211 11.284
Mg 1.468 1.070 11.107
Mg 7.094 3.211 3.699
Mg 10.031 1.070 11.116
Mg 15.657 3.211 3.708
I 0.301 3.211 12.701
I 0.981 3.211 5.256
I 2.638 3.211 9.510
I 2.810 3.211 1.261
I 3.930 1.070 12.643
I 4.633 3.211 5.235
I 5.752 1.070 8.668
I 5.925 1.070 2.103
I 7.581 1.070 12.663
I 8.262 1.070 5.293
I 8.863 3.211 9.522
I 9.544 3.211 2.151
I 11.200 3.211 12.712
I 11.373 3.211 6.147
I 12.492 1.070 9.580
I 13.196 3.211 2.172
I 14.315 1.070 13.554
I 14.488 1.070 5.305
I 16.144 1.070 9.559
I 16.825 1.070 2.114



5
Lattice="3.709 0.000 0.000 0.000 3.709 0.000 0.000 0.000 3.709" Properties=species:S:1:pos:R:3 comment="InPH3, optimized geometry, DFT GGA-PBEsol" relative_energy_mev_per_atom=0 space_group="No. 221" m_tot_mub_per_fu=0.00 total_energy_ev_per_fu=-16.515 pbc="T T T"
In 0.000 0.000 0.000
P 1.854 1.854 1.854
H 0.000 1.854 1.854
H 1.854 0.000 1.854
H 1.854 1.854 0.000



16
Lattice="7.758 0.000 0.000 0.000 7.758 0.000 0.000 0.000 7.758" Properties=species:S:1:pos:R:3 comment="BaMg2Pb, optimized geometry, DFT GGA-PBEsol" ef_ev_per_atom=-0.163 space_group="No. 225" m_tot_mub_per_fu=0.00 total_energy_ev_per_fu=-10.234 pbc="T T T"
Ba 0.000 0.000 0.000
Ba 0.000 3.879 3.879
Ba 3.879 0.000 3.879
Ba 3.879 3.879 0.000
Mg 1.939 1.939 1.939
Mg 1.939 1.939 5.818
Mg 1.939 5.818 1.939
Mg 1.939 5.818 5.818
Mg 5.818 1.939 1.939
Mg 5.818 1.939 5.818
Mg 5.818 5.818 1.939
Mg 5.818 5.818 5.818
Pb 0.000 0.000 3.879
Pb 0.000 3.879 0.000
Pb 3.879 0.000 0.000
Pb 3.879 3.879 3.879



16
Lattice="6.019 0.000 0.000 0.000 6.019 0.000 0.000 0.000 6.019" Properties=species:S:1:pos:R:3 comment="CoMoOs2, optimized geometry, DFT GGA-PBEsol" ef_ev_per_atom=0.438 relative_energy_mev_per_atom=424 space_group="No. 216" m_tot_mub_per_fu=0.62 total_energy_ev_per_fu=-42.185 pbc="T T T"
Co 0.000 0.000 0.000
Co 0.000 3.009 3.009
Co 3.009 0.000 3.009
Co 3.009 3.009 0.000
Mo 1.505 1.505 4.514
Mo 1.505 4.514 1.505
Mo 4.514 1.505 1.505
Mo 4.514 4.514 4.514
Os 0.000 0.000 3.009
Os 0.000 3.009 0.000
Os 1.505 1.505 1.505
Os 1.505 4.514 4.514
Os 3.009 0.000 0.000
Os 3.009 3.009 3.009
Os 4.514 1.505 4.514
Os 4.514 4.514 1.505



5
Lattice="4.904 0.000 0.000 0.000 4.904 0.000 0.000 0.000 5.124" Properties=species:S:1:pos:R:3 comment="Sc2SnPPb, optimized geometry, DFT GGA-PBEsol" ef_ev_per_atom=-0.353 space_group="No. 123" m_tot_mub_per_fu=0.00 total_energy_ev_per_fu=-29.024 pbc="T T T"
Sc 0.000 2.452 0.000
Sc 2.452 0.000 0.000
Sn 0.000 0.000 2.562
P 0.000 0.000 0.000
Pb 2.452 2.452 2.562



5
Lattice="4.243 0.000 0.000 0.000 4.243 0.000 0.000 0.000 3.765" Properties=species:S:1:pos:R:3 comment="BeCuAu2C, optimized geometry, DFT GGA-PBEsol" ef_ev_per_atom=0.758 space_group="No. 123" m_tot_mub_per_fu=0.00 total_energy_ev_per_fu=-22.036 pbc="T T T"
Be 0.000 0.000 0.000
Cu 2.122 2.122 0.000
Au 0.000 2.122 1.883
Au 2.122 0.000 1.883
C 2.122 2.122 1.883



6
Lattice="2.464 0.000 0.000 -1.232 2.134 0.000 0.000 0.000 12.189" Properties=species:S:1:pos:R:3 comment="FeNi, optimized geometry, DFT GGA-PBEsol" ef_ev_per_atom=0.023 space_group="No. 166" m_tot_mub_per_fu=3.09 total_energy_ev_per_fu=-15.074 pbc="T T T"
Fe 0.000 0.000 0.000
Fe 0.000 1.423 8.126
Fe 1.232 0.711 4.063
Ni 0.000 0.000 6.094
Ni 0.000 1.423 2.031
Ni 1.232 0.711 10.157



8
Lattice="5.413 0.000 0.000 0.000 9.806 0.000 -1.702 0.000 2.618" Properties=species:S:1:pos:R:3 comment="Al2SbRh, optimized geometry, DFT GGA-PBEsol" e_form_raw_kcal_per_mol_atoms=-1.11 space_group="No. 12" m_tot_mub_per_fu=0.00 total_energy_ev_per_fu=-21.071 pbc="T T T"
Al 1.353 2.451 0.000
Al 1.353 7.354 0.000
Al 4.060 2.451 0.000
Al 4.060 7.354 0.000
Sb 0.000 0.000 0.000
Sb 2.707 4.903 0.000
Rh 0.000 4.903 0.000
Rh 2.707 0.000 0.000



16
Lattice="5.772 0.000 0.000 0.000 5.772 0.000 0.000 0.000 5.772" Properties=species:S:1:pos:R:3 comment="KH2Os, optimized geometry, DFT GGA-PBEsol" space_group="No. 225" m_tot_mub_per_fu=1.42 total_energy_ev_per_fu=-12.878 pbc="T T T"
K 0.000 0.000 0.000
K 0.000 2.886 2.886
K 2.886 0.000 2.886
K 2.886 2.886 0.000
H 1.443 1.443 1.443
H 1.443 1.443 4.329
H 1.443 4.329 1.443
H 1.443 4.329 4.329
H 4.329 1.443 1.443
H 4.329 1.443 4.329
H 4.329 4.329 1.443
H 4.329 4.329 4.329
Os 0.000 0.000 2.886
Os 0.000 2.886 0.000
Os 2.886 0.000 0.000
Os 2.886 2.886 2.886



16
Lattice="5.504 0.000 0.000 0.000 5.504 0.000 0.000 0.000 5.504" Properties=species:S:1:pos:R:3 comment="Be3Au, optimized geometry, DFT GGA-PBEsol" ef_ev_per_atom=-0.063 space_group="No. 225" m_tot_mub_per_fu=0.00 total_energy_ev_per_fu=-16.178 pbc="T T T"
Be 0.000 0.000 0.000
Be 0.000 2.752 2.752
Be 1.376 1.376 1.376
Be 1.376 1.376 4.128
Be 1.376 4.128 1.376
Be 1.376 4.128 4.128
Be 2.752 0.000 2.752
Be 2.752 2.752 0.000
Be 4.128 1.376 1.376
Be 4.128 1.376 4.128
Be 4.128 4.128 1.376
Be 4.128 4.128 4.128
Au 0.000 0.000 2.752
Au 0.000 2.752 0.000
Au 2.752 0.000 0.000
Au 2.752 2.752 2.752



16
Lattice="6.628 0.000 0.000 0.000 6.628 0.000 0.000 0.000 6.628" Properties=species:S:1:pos:R:3 comment="ScAu2Cl, optimized geometry, DFT GGA-PBEsol" relative_energy_mev_per_atom=241 e_form_raw_kcal_per_mol_atoms=-12.56 space_group="No. 216" m_tot_mub_per_fu=0.00 total_energy_ev_per_fu=-18.639 pbc="T T T"
Sc 0.000 0.000 0.000
Sc 0.000 3.314 3.314
Sc 3.314 0.000 3.314
Sc 3.314 3.314 0.000
Au 0.000 0.000 3.314
Au 0.000 3.314 0.000
Au 1.657 1.657 1.657
Au 1.657 4.971 4.971
Au 3.314 0.000 0.000
Au 3.314 3.314 3.314
Au 4.971 1.657 4.971
Au 4.971 4.971 1.657
Cl 1.657 1.657 4.971
Cl 1.657 4.971 1.657
Cl 4.971 1.657 1.657
Cl 4.971 4.971 4.971